Record 1
# NaZrIn | Alexandria | GGA-PBE | relaxed
data_NaZrIn
_chemical_formula_sum 'Na2 Zr2 In2'
_cell_length_a 4.327
_cell_length_b 4.327
_cell_length_c 7.651
_cell_angle_alpha 90.00
_cell_angle_beta 90.00
_cell_angle_gamma 90.00
_space_group_name_H-M_alt 'P 4/n m m'
_space_group_IT_number 129
loop_
_space_group_symop_operation_xyz
'x,y,z'
'-x,-y,-z'
'-y+1/2,x,z'
'y+1/2,-x,-z'
'-x+1/2,-y+1/2,z'
'x+1/2,y+1/2,-z'
'y,-x+1/2,z'
'-y,x+1/2,-z'
'x+1/2,-y,-z'
'-x+1/2,y,z'
'-y,-x,-z'
'y,x,z'
'-x,y+1/2,-z'
'x,-y+1/2,z'
'y+1/2,x+1/2,-z'
'-y+1/2,-x+1/2,z'
loop_
_atom_site_label
_atom_site_fract_x
_atom_site_fract_y
_atom_site_fract_z
_atom_site_occupancy
Na1 0.250 0.250 0.231 1
Zr1 0.250 0.250 0.842 1
In1 0.250 0.750 0.500 1
# V: 143.3 Å³ per cell
# crystal system: tetragonal
# density of states at the Fermi level: 4.97 states/eV/f.u.
# formation enthalpy at 0 K: 0.5455 eV per atom
# E above lowest polymorph: 192 kJ/mol of formula units

=====

Record 2
# NaZrIn | Alexandria | GGA-PBE | relaxed
data_NaZrIn
_chemical_formula_sum 'Na2 Zr2 In2'
_cell_length_a 3.136
_cell_length_b 3.136
_cell_length_c 15.546
_cell_angle_alpha 90.00
_cell_angle_beta 90.00
_cell_angle_gamma 90.00
_space_group_name_H-M_alt 'P 4 m m'
_space_group_IT_number 99
_space_group_name_Hall 'P 4 -2'
loop_
_atom_site_label
_atom_site_fract_x
_atom_site_fract_y
_atom_site_fract_z
_atom_site_occupancy
Na1 0.000 0.000 0.000 1
Na2 0.000 0.000 0.345 1
Zr1 0.000 0.000 0.666 1
Zr2 0.500 0.500 0.807 1
In1 0.500 0.500 0.173 1
In2 0.500 0.500 0.509 1
# V: 152.9 Å³ per cell
# crystal system: tetragonal
# density of states at the Fermi level: 1.77 states/eV/f.u.
# formation enthalpy at 0 K: -0.0322 eV per atom
# E above lowest polymorph: 25 kJ/mol of formula units

=====

Record 3
# NaZrIn | Alexandria | GGA-PBE | relaxed
data_NaZrIn
_chemical_formula_sum 'Na4 Zr4 In4'
_cell_length_a 13.039
_cell_length_b 3.225
_cell_length_c 7.507
_cell_angle_alpha 90.00
_cell_angle_beta 110.49
_cell_angle_gamma 90.00
_space_group_name_H-M_alt 'C 1 2/m 1'
_space_group_IT_number 12
_space_group_name_Hall '-C 2y'
loop_
_atom_site_label
_atom_site_fract_x
_atom_site_fract_y
_atom_site_fract_z
_atom_site_occupancy
Na1 0.165 0.000 0.333 1
Zr1 0.158 0.000 0.855 1
In1 0.000 0.500 0.000 1
In2 0.000 0.500 0.500 1
# V: 295.7 Å³ per cell
# crystal system: monoclinic
# density of states at the Fermi level: 1.16 states/eV/f.u.
# formation enthalpy at 0 K: 0.0279 eV per atom
# E above lowest polymorph: 42 kJ/mol of formula units

=====

Record 4
# NaZrIn | Alexandria | GGA-PBE | relaxed
data_NaZrIn
_chemical_formula_sum 'Na4 Zr4 In4'
_cell_length_a 6.950
_cell_length_b 6.950
_cell_length_c 6.950
_cell_angle_alpha 90.00
_cell_angle_beta 90.00
_cell_angle_gamma 90.00
_space_group_name_H-M_alt 'F -4 3 m'
_space_group_IT_number 216
_space_group_name_Hall 'F -4 2 3'
loop_
_atom_site_label
_atom_site_fract_x
_atom_site_fract_y
_atom_site_fract_z
_atom_site_occupancy
Na1 0.000 0.000 0.000 1
Zr1 0.000 0.000 0.500 1
In1 0.250 0.250 0.250 1
# V: 335.6 Å³ per cell
# crystal system: cubic
# density of states at the Fermi level: 0.57 states/eV/f.u.
# formation enthalpy at 0 K: 0.4629 eV per atom
# E above lowest polymorph: 168 kJ/mol of formula units

=====

Record 5
# NaZr4In5 | Alexandria | GGA-PBE | relaxed
data_NaZr4In5
_chemical_formula_sum 'Na1 Zr4 In5'
_cell_length_a 3.180
_cell_length_b 3.180
_cell_length_c 22.633
_cell_angle_alpha 90.00
_cell_angle_beta 90.00
_cell_angle_gamma 90.00
_space_group_name_H-M_alt 'P 4/m m m'
_space_group_IT_number 123
_space_group_name_Hall '-P 4 2'
loop_
_atom_site_label
_atom_site_fract_x
_atom_site_fract_y
_atom_site_fract_z
_atom_site_occupancy
Na1 0.000 0.000 0.000 1
Zr1 0.000 0.000 0.209 1
Zr2 0.000 0.000 0.403 1
In1 0.500 0.500 0.111 1
In2 0.500 0.500 0.306 1
In3 0.500 0.500 0.500 1
# V: 228.9 Å³ per cell
# crystal system: tetragonal
# density of states at the Fermi level: 6.90 states/eV/f.u.
# formation enthalpy at 0 K: -0.2570 eV per atom

=====

Record 6
# NaZrIn | Alexandria | GGA-PBE | relaxed
data_NaZrIn
_chemical_formula_sum 'Na4 Zr4 In4'
_cell_length_a 3.579
_cell_length_b 16.359
_cell_length_c 5.028
_cell_angle_alpha 90.00
_cell_angle_beta 90.00
_cell_angle_gamma 90.00
_space_group_name_H-M_alt 'C m m m'
_space_group_IT_number 65
_space_group_name_Hall '-C 2 2'
loop_
_atom_site_label
_atom_site_fract_x
_atom_site_fract_y
_atom_site_fract_z
_atom_site_occupancy
Na1 0.000 0.000 0.000 1
Na2 0.000 0.500 0.500 1
Zr1 0.000 0.178 0.500 1
In1 0.000 0.328 0.000 1
# V: 294.3 Å³ per cell
# crystal system: orthorhombic
# density of states at the Fermi level: 1.76 states/eV/f.u.
# formation enthalpy at 0 K: -0.0185 eV per atom
# E above lowest polymorph: 29 kJ/mol of formula units

=====

Record 7
# NaZrIn | Alexandria | GGA-PBE | relaxed
data_NaZrIn
_chemical_formula_sum 'Na2 Zr2 In2'
_cell_length_a 5.245
_cell_length_b 3.364
_cell_length_c 8.857
_cell_angle_alpha 90.00
_cell_angle_beta 107.16
_cell_angle_gamma 90.00
_space_group_name_H-M_alt 'P 1 m 1'
_space_group_IT_number 6
_space_group_name_Hall 'P -2y'
loop_
_atom_site_label
_atom_site_fract_x
_atom_site_fract_y
_atom_site_fract_z
_atom_site_occupancy
Na1 0.000 0.000 0.000 1
Na2 0.477 0.500 0.954 1
Zr1 0.689 0.000 0.333 1
Zr2 0.832 0.500 0.622 1
In1 0.184 0.500 0.323 1
In2 0.337 0.000 0.632 1
# V: 149.4 Å³ per cell
# crystal system: monoclinic
# density of states at the Fermi level: 2.21 states/eV/f.u.
# formation enthalpy at 0 K: -0.0151 eV per atom
# E above lowest polymorph: 30 kJ/mol of formula units

=====

Record 8
# NaZrIn | Alexandria | GGA-PBE | relaxed
data_NaZrIn
_chemical_formula_sum 'Na4 Zr4 In4'
_cell_length_a 17.110
_cell_length_b 3.304
_cell_length_c 5.357
_cell_angle_alpha 90.00
_cell_angle_beta 90.00
_cell_angle_gamma 90.00
_space_group_name_H-M_alt 'A m m 2'
_space_group_IT_number 38
_space_group_name_Hall 'A 2 -2'
loop_
_atom_site_label
_atom_site_fract_x
_atom_site_fract_y
_atom_site_fract_z
_atom_site_occupancy
Na1 0.171 0.000 0.000 1
Zr1 0.349 0.000 0.629 1
In1 0.000 0.000 0.645 1
In2 0.500 0.000 0.974 1
# V: 302.8 Å³ per cell
# crystal system: orthorhombic
# density of states at the Fermi level: 2.67 states/eV/f.u.
# formation enthalpy at 0 K: 0.0965 eV per atom
# E above lowest polymorph: 62 kJ/mol of formula units

=====

Record 9
# Nb2In | Alexandria | GGA-PBE | relaxed
data_Nb2In
_chemical_formula_sum 'Nb8 In4'
_cell_length_a 3.289
_cell_length_b 6.235
_cell_length_c 12.290
_cell_angle_alpha 90.00
_cell_angle_beta 90.00
_cell_angle_gamma 90.00
_space_group_name_H-M_alt 'I m m m'
_space_group_IT_number 71
_space_group_name_Hall '-I 2 2'
loop_
_atom_site_label
_atom_site_fract_x
_atom_site_fract_y
_atom_site_fract_z
_atom_site_occupancy
Nb1 0.000 0.000 0.130 1
Nb2 0.000 0.247 0.500 1
In1 0.000 0.500 0.165 1
# V: 252.1 Å³ per cell
# crystal system: orthorhombic
# density of states at the Fermi level: 2.31 states/eV/f.u.
# formation enthalpy at 0 K: 0.2125 eV per atom
# E above lowest polymorph: 60 kJ/mol of formula units

=====

Record 10
# NbIn | Alexandria | GGA-PBE | relaxed
data_NbIn
_chemical_formula_sum 'Nb6 In6'
_cell_length_a 12.782
_cell_length_b 2.986
_cell_length_c 7.148
_cell_angle_alpha 90.00
_cell_angle_beta 90.00
_cell_angle_gamma 90.00
_space_group_name_H-M_alt 'P m n 21'
_space_group_IT_number 31
_space_group_name_Hall 'P 2ac -2'
loop_
_atom_site_label
_atom_site_fract_x
_atom_site_fract_y
_atom_site_fract_z
_atom_site_occupancy
Nb1 0.000 0.189 0.000 1
Nb2 0.107 0.963 0.298 1
In1 0.000 0.576 0.632 1
In2 0.221 0.541 0.984 1
# V: 272.8 Å³ per cell
# crystal system: orthorhombic
# density of states at the Fermi level: 1.69 states/eV/f.u.
# formation enthalpy at 0 K: 0.1880 eV per atom

=====

Record 11
# Nb3In | Alexandria | GGA-PBE | relaxed
data_Nb3In
_chemical_formula_sum 'Nb6 In2'
_cell_length_a 4.530
_cell_length_b 4.530
_cell_length_c 7.411
_cell_angle_alpha 90.00
_cell_angle_beta 90.00
_cell_angle_gamma 90.00
_space_group_name_H-M_alt 'I 4/m m m'
_space_group_IT_number 139
_space_group_name_Hall '-I 4 2'
loop_
_atom_site_label
_atom_site_fract_x
_atom_site_fract_y
_atom_site_fract_z
_atom_site_occupancy
Nb1 0.000 0.000 0.000 1
Nb2 0.000 0.500 0.250 1
In1 0.000 0.000 0.500 1
# V: 152.1 Å³ per cell
# crystal system: tetragonal
# density of states at the Fermi level: 3.93 states/eV/f.u.
# formation enthalpy at 0 K: 0.0926 eV per atom

=====

Record 12
# NbIn | Alexandria | GGA-PBE | relaxed
data_NbIn
_chemical_formula_sum 'Nb8 In8'
_cell_length_a 5.279
_cell_length_b 6.048
_cell_length_c 10.092
_cell_angle_alpha 90.00
_cell_angle_beta 90.00
_cell_angle_gamma 90.00
_space_group_name_H-M_alt 'P 21 21 21'
_space_group_IT_number 19
_space_group_name_Hall 'P 2ac 2ab'
loop_
_atom_site_label
_atom_site_fract_x
_atom_site_fract_y
_atom_site_fract_z
_atom_site_occupancy
Nb1 0.153 0.018 0.128 1
Nb2 0.157 0.240 0.878 1
In1 0.145 0.745 0.870 1
In2 0.150 0.506 0.122 1
# V: 322.2 Å³ per cell
# crystal system: orthorhombic
# density of states at the Fermi level: 1.02 states/eV/f.u.
# formation enthalpy at 0 K: 0.1352 eV per atom